The following is a DFT calculation (GGA-PBE) of La2SiPb after structural relaxation.

Properties
Uncorrected formation energy = -332 meV/atom
Symmetry = I-42d (122)
ΔE to the lowest computed polymorph = 230 meV per atom
ρ = 6.74 g/cm³

Unit cell a=8.4634 b=8.4634 c=6.9483 alpha=52.48 beta=52.48 gamma=90.00
Last column: nearest neighbours and their distance in Å.
Fractional coordinates of all 8 atoms:
Pb (0.0000, 0.0000, 0.0000)  4 La 3.30, 2 Si 3.53
Pb (0.7500, 0.2500, 0.5000)  4 La 3.30, 2 Si 3.53
Si (0.5000, 0.5000, 0.0000)  4 La 2.96
Si (0.2500, 0.7500, 0.5000)  4 La 2.96
La (0.5954, 0.1250, 0.2500)  2 Si 2.96, 2 Pb 3.30
La (0.1546, 0.6250, 0.2500)  2 Si 2.96, 2 Pb 3.30
La (0.3750, 0.4046, 0.7500)  2 Si 2.96, 2 Pb 3.30
La (0.8750, 0.8454, 0.7500)  2 Si 2.96, 2 Pb 3.30